Entry from Alexandria: Li4Cd2Pb5 after structural relaxation (PBE).

DOS at the Fermi energy	3.4	states/eV per cell
symmetry	P-1, No. 2
total magnetization	0.000	μB/atom
uncorrected energy	-2.711	eV/atom

Cell lengths 4.6652, 7.5528, 8.4281 Å; angles 110.02, 105.68, 90.38 degrees
Closest atoms and distances in Å follow each position.
Element x y z (fractional)
1 Li 0.0978 0.4713 0.1931  1 Cd 3.08, 8 Pb 3.14-3.39, 1 Li 3.31
2 Li 0.3589 0.8241 0.7177  3 Cd 3.08-3.36, 7 Pb 3.10-3.28
3 Li 0.6411 0.1759 0.2823  3 Cd 3.08-3.36, 7 Pb 3.10-3.28
4 Li 0.9022 0.5287 0.8069  1 Cd 3.08, 8 Pb 3.14-3.39, 1 Li 3.31
5 Cd 0.1875 0.9057 0.3720  4 Li 3.08-3.36, 2 Cd 3.10-3.12, 6 Pb 3.21-3.34
6 Cd 0.8125 0.0943 0.6280  4 Li 3.08-3.36, 2 Cd 3.10-3.12, 6 Pb 3.21-3.34
7 Pb 0.0000 0.0000 0.0000  6 Li 3.20-3.34, 4 Pb 3.32-3.33, 2 Cd 3.34
8 Pb 0.2684 0.3597 0.5378  6 Li 3.10-3.28, 3 Cd 3.21-3.33, 3 Pb 3.34-3.40
9 Pb 0.4627 0.2732 0.9215  6 Li 3.19-3.39, 4 Pb 3.20-3.40, 2 Cd 3.24-3.28
10 Pb 0.5373 0.7268 0.0785  6 Li 3.19-3.39, 4 Pb 3.20-3.40, 2 Cd 3.24-3.28
11 Pb 0.7316 0.6403 0.4622  6 Li 3.10-3.28, 3 Cd 3.21-3.33, 3 Pb 3.34-3.40


Entry from Alexandria: Li2CrCl after structural relaxation (PBE).

DOS at the Fermi energy	0.3	states/eV per cell
symmetry	Cmmm, No. 65
total magnetization	1.260	μB/atom
uncorrected energy	-3.917	eV/atom
formation energy without anion corrections	-93	meV per atom

Cell lengths 4.6177, 4.6177, 3.4659 Å; angles 90.00, 90.00, 90.08 degrees
Closest atoms and distances in Å follow each position.
Element x y z (fractional)
1 Li 0.0000 0.5000 0.0000  4 Cr 2.89, 4 Cl 2.89
2 Li 0.5000 0.0000 0.0000  4 Cr 2.89, 4 Cl 2.89
3 Cr 0.0000 0.0000 0.5000  8 Li 2.89
4 Cl 0.5000 0.5000 0.5000  8 Li 2.89


Entry from Alexandria: Pm5Hg4Pt after structural relaxation (PBE).

DOS at the Fermi energy	9.5	states/eV per cell
symmetry	P4/mmm, No. 123
total magnetization	0.080	μB/atom
uncorrected energy	-3.699	eV/atom

Cell lengths 3.7521, 3.7521, 18.9720 Å; angles 90.00, 90.00, 90.00 degrees
Closest atoms and distances in Å follow each position.
Element x y z (fractional)
1 Pm 0.0000 0.0000 0.0000  8 Hg 3.30
2 Pm 0.0000 0.0000 0.2061  8 Hg 3.25-3.30
3 Pm 0.0000 0.0000 0.4124  4 Pt 3.13, 1 Pm 3.32, 4 Hg 3.34
4 Pm 0.0000 0.0000 0.5876  4 Pt 3.13, 1 Pm 3.32, 4 Hg 3.34
5 Pm 0.0000 0.0000 0.7939  8 Hg 3.25-3.30
6 Hg 0.5000 0.5000 0.1031  8 Pm 3.30
7 Hg 0.5000 0.5000 0.3052  8 Pm 3.25-3.34
8 Hg 0.5000 0.5000 0.6948  8 Pm 3.25-3.34
9 Hg 0.5000 0.5000 0.8969  8 Pm 3.30
10 Pt 0.5000 0.5000 0.5000  8 Pm 3.13


Entry from Alexandria: CaNbGeTeP after structural relaxation (PBE).

DOS at the Fermi energy	1.1	states/eV per cell
symmetry	Cm, No. 8
total magnetization	0.000	μB/atom
uncorrected energy	-5.547	eV/atom
formation energy without anion corrections	-499	meV per atom

Cell lengths 4.4404, 4.4404, 7.8785 Å; angles 97.07, 97.07, 49.90 degrees
Closest atoms and distances in Å follow each position.
Element x y z (fractional)
1 Ca 0.0000 0.0000 0.0000  3 Ge 3.05-3.11, 3 Te 3.22-3.35
2 Nb 0.9265 0.9265 0.4853  3 P 2.52-2.53, 2 Ge 2.72
3 Ge 0.3416 0.3416 0.2377  1 P 2.38
4 Te 0.2806 0.2806 0.7220  3 Nb 2.99-3.19, 2 Ca 3.22, 2 P 3.27
5 P 0.6109 0.6109 0.4050  1 Ge 2.38, 3 Nb 2.52-2.53